An optimized crystal structure of MgCuNiF6. Source: Alexandria, functional PBE+U.

Properties
Spin magnetization: 6.00 Bohr magnetons per cell
ρ: 4.17 Mg/m³
Final energy: -81.9 eV/cell

abc: 4.6945 4.6945 9.4040
angles: 90.00 90.00 90.00
Closest atoms and distances in Å follow each position.
Fractional positions:
F: 0.6969 0.6969 0.6629  1 Mg 2.01, 1 Ni 2.01, 1 Cu 2.07
Ni: 0.0000 0.0000 0.6663  6 F 2.01-2.05
Mg: 0.5000 0.5000 0.5004  6 F 2.00-2.03
F: 0.1969 0.8031 0.1629  1 Mg 2.01, 1 Ni 2.01, 1 Cu 2.07
F: 0.8045 0.1955 0.8350  1 Cu 2.02, 1 Mg 2.03, 1 Ni 2.05
F: 0.6955 0.6955 0.3350  1 Cu 2.02, 1 Mg 2.03, 1 Ni 2.05
F: 0.3031 0.3031 0.6629  1 Mg 2.01, 1 Ni 2.01, 1 Cu 2.07
F: 0.1988 0.8012 0.5022  1 Mg 2.00, 1 Ni 2.03, 1 Cu 2.07
Cu: 0.0000 0.0000 0.3332  6 F 2.02-2.07
F: 0.1955 0.8045 0.8350  1 Cu 2.02, 1 Mg 2.03, 1 Ni 2.05
F: 0.3012 0.3012 0.0022  1 Mg 2.00, 1 Ni 2.03, 1 Cu 2.07
Mg: 0.0000 0.0000 0.0004  6 F 2.00-2.03
F: 0.3045 0.3045 0.3350  1 Cu 2.02, 1 Mg 2.03, 1 Ni 2.05
F: 0.8031 0.1969 0.1629  1 Mg 2.01, 1 Ni 2.01, 1 Cu 2.07
F: 0.6988 0.6988 0.0022  1 Mg 2.00, 1 Ni 2.03, 1 Cu 2.07
Cu: 0.5000 0.5000 0.8332  6 F 2.02-2.07
F: 0.8012 0.1988 0.5022  1 Mg 2.00, 1 Ni 2.03, 1 Cu 2.07
Ni: 0.5000 0.5000 0.1663  6 F 2.01-2.05